(1)
## CoBSb2Te (PBE)

Data for a geometry-optimized CoBSb2Te structure.

abc: 4.6853 4.6853 4.7561
angles: 90.00 90.00 90.00
Closest atoms and distances in Å follow each position.
Element x y z (fractional)
Sb 0.0000 0.5000 0.0000  2 B 2.34
Sb 0.5000 0.0000 0.0000  2 B 2.34
B 0.0000 0.0000 0.0000  4 Sb 2.34, 2 Te 2.38
Te 0.0000 0.0000 0.5000  2 B 2.38
Co 0.5000 0.5000 0.5000  4 Te 3.31, 8 Sb 3.34

Values from the calculation:
ΔE to the lowest computed polymorph ... 0 meV/atom
Uncorrected formation energy ... 1.1136 eV/atom
Space group ... P4/mmm

=====

(2)
## La8Ho2Tm (PBE)

Data for a geometry-optimized La8Ho2Tm structure.

abc: 5.2118 8.2223 9.6939
angles: 104.66 105.59 90.00
Closest atoms and distances in Å follow each position.
Element x y z (fractional)
La 0.5918 0.4529 0.1835  3 Ho 3.65-3.66, 8 La 3.65-3.71, 1 Tm 3.67
La 0.3186 0.0877 0.6373  1 Tm 3.64, 8 La 3.66-3.71, 3 Ho 3.67-3.71
La 0.1371 0.1850 0.2743  3 Ho 3.63-3.67, 7 La 3.65-3.69, 2 Tm 3.69
La 0.0470 0.7279 0.0940  1 Ho 3.63, 9 La 3.66-3.70, 2 Tm 3.69
La 0.8629 0.8150 0.7257  3 Ho 3.63-3.67, 7 La 3.65-3.69, 2 Tm 3.69
La 0.6814 0.9123 0.3627  1 Tm 3.64, 8 La 3.66-3.71, 3 Ho 3.67-3.71
La 0.4082 0.5471 0.8165  3 Ho 3.65-3.66, 8 La 3.65-3.71, 1 Tm 3.67
La 0.9530 0.2721 0.9060  1 Ho 3.63, 9 La 3.66-3.70, 2 Tm 3.69
Ho 0.2264 0.6342 0.4528  10 La 3.63-3.71, 2 Ho 3.67
Ho 0.7736 0.3658 0.5472  10 La 3.63-3.71, 2 Ho 3.67
Tm 0.5000 0.0000 0.0000  12 La 3.64-3.69

Values from the calculation:
ΔE to the lowest computed polymorph ... 0 meV/atom
Space group ... C2/m

=====

(3)
## Pm2ScTe (PBE)

Data for a geometry-optimized Pm2ScTe structure.

abc: 4.0254 4.0254 7.1963
angles: 90.00 90.00 90.00
Closest atoms and distances in Å follow each position.
Element x y z (fractional)
Sc 0.5000 0.5000 0.0000  8 Pm 3.40, 2 Te 3.60
Te 0.5000 0.5000 0.5000  8 Pm 3.34, 2 Sc 3.60
Pm 0.0000 0.0000 0.7422  4 Te 3.34, 4 Sc 3.40, 2 Pm 3.49-3.71
Pm 0.0000 0.0000 0.2578  4 Te 3.34, 4 Sc 3.40, 2 Pm 3.49-3.71

Values from the calculation:
ΔE to the lowest computed polymorph ... 0 meV/atom
Uncorrected formation energy ... -0.5686 eV/atom
Space group ... P4/mmm

=====

(4)
## Hg2SbSe (PBE)

Data for a geometry-optimized Hg2SbSe structure.

abc: 3.8421 3.8421 8.0845
angles: 90.00 90.00 115.21
Closest atoms and distances in Å follow each position.
Element x y z (fractional)
Hg 0.0000 0.0000 0.9838  2 Se 2.79, 2 Sb 2.98
Hg 0.0000 0.0000 0.5162  2 Se 2.79, 2 Sb 2.98
Sb 0.5000 0.5000 0.2500  4 Hg 2.98
Se 0.5000 0.5000 0.7500  4 Hg 2.79

Values from the calculation:
Uncorrected formation energy ... 0.1649 eV/atom
Space group ... Cmmm